Crystalline Al4Cd at its relaxed geometry. Source: Alexandria, functional PBE-GGA.

D(E_F) ... 2.3 states/eV per cell
Offset from the most stable computed form ... 0.063 eV/atom
Total moment ... 0.000 μB per atom
Energy of formation ... 4.01 kcal/mol of atoms
Space group ... I4/mmm, No. 139

a = 6.6464 Å, b = 6.6464 Å, c = 6.6464 Å
α = 143.85°, β = 143.85°, γ = 52.06°
Element x y z (fractional)
Al: 0.7500 0.2500 0.5000
Al: 0.3934 0.3934 0.0000
Al: 0.2500 0.7500 0.5000
Al: 0.6066 0.6066 0.0000
Cd: 0.0000 0.0000 0.0000